# In2Ag2Cl (PBE, relaxed)
data_In2Ag2Cl
_space_group_name_H-M_alt 'I 4/m m m'
_space_group_IT_number 139
_space_group_name_Hall '-I 4 2'
_cell_length_a 4.006
_cell_length_b 4.006
_cell_length_c 15.289
_cell_angle_alpha 90.00
_cell_angle_beta 90.00
_cell_angle_gamma 90.00
loop_
_atom_site_label
_atom_site_type_symbol
_atom_site_fract_x
_atom_site_fract_y
_atom_site_fract_z
In1 In 0.000 0.000 0.099
Ag1 Ag 0.000 0.500 0.250
Cl1 Cl 0.000 0.000 0.500
# - ΔE_f (raw) (eV/f.u.) = -0.593
# - distance to the lowest polymorph of the same formula (meV per atom) = 20.3


# Hg8IBr2 (PBE, relaxed)
data_Hg8IBr2
_space_group_name_H-M_alt 'P -1'
_space_group_IT_number 2
_space_group_name_Hall '-P 1'
_cell_length_a 6.776
_cell_length_b 7.180
_cell_length_c 8.674
_cell_angle_alpha 100.28
_cell_angle_beta 105.22
_cell_angle_gamma 116.09
loop_
_atom_site_label
_atom_site_type_symbol
_atom_site_fract_x
_atom_site_fract_y
_atom_site_fract_z
Hg1 Hg 0.026 0.341 0.105
Hg2 Hg 0.131 0.912 0.435
Hg3 Hg 0.225 0.599 0.694
Hg4 Hg 0.417 0.877 0.233
I1 I 0.500 0.500 0.500
Br1 Br 0.275 0.194 0.950
# - ΔE_f (raw) (eV/f.u.) = -1.539


# PaCoAs (PBE, relaxed)
data_PaCoAs
_space_group_name_H-M_alt 'P 3 m 1'
_space_group_IT_number 156
_space_group_name_Hall 'P 3 -2"'
_cell_length_a 4.0667
_cell_length_b 4.0667
_cell_length_c 3.7461
_cell_angle_alpha 90.00
_cell_angle_beta 90.00
_cell_angle_gamma 120.00
loop_
_atom_site_label
_atom_site_type_symbol
_atom_site_fract_x
_atom_site_fract_y
_atom_site_fract_z
Pa1 Pa 0.0000 0.0000 0.0000
Co1 Co 0.6667 0.3333 0.4333
As1 As 0.3333 0.6667 0.5125
# - energy relative to the elements (meV/atom) = -863


# NiMo2Ru (PBE, relaxed)
data_NiMo2Ru
_space_group_name_H-M_alt 'I -4 2 d'
_space_group_IT_number 122
_space_group_name_Hall 'I -4 2bw'
_cell_length_a 6.829
_cell_length_b 6.829
_cell_length_c 5.252
_cell_angle_alpha 90.00
_cell_angle_beta 90.00
_cell_angle_gamma 90.00
loop_
_atom_site_label
_atom_site_type_symbol
_atom_site_fract_x
_atom_site_fract_y
_atom_site_fract_z
Ni1 Ni 0.000 0.000 0.000
Mo1 Mo 0.249 0.750 0.125
Ru1 Ru 0.000 0.000 0.500
# - energy relative to the elements (meV/atom) = 601


# Pr2PaGe2N6 (PBE, relaxed)
data_Pr2PaGe2N6
_space_group_name_H-M_alt 'R -3 m'
_space_group_IT_number 166
_space_group_name_Hall '-R 3 2"'
_cell_length_a 5.8832
_cell_length_b 5.8832
_cell_length_c 17.5141
_cell_angle_alpha 90.00
_cell_angle_beta 90.00
_cell_angle_gamma 120.00
loop_
_atom_site_label
_atom_site_type_symbol
_atom_site_fract_x
_atom_site_fract_y
_atom_site_fract_z
Pr1 Pr 0.0000 0.0000 0.2026
Pa1 Pa 0.0000 0.0000 0.0000
Ge1 Ge 0.0000 0.0000 0.4078
N1 N 0.0150 0.5075 0.7578
# - ΔE_f (raw) (eV/f.u.) = -7.269


# La2WBr (PBE, relaxed)
data_La2WBr
_space_group_name_H-M_alt 'P 4 m m'
_space_group_IT_number 99
_space_group_name_Hall 'P 4 -2'
_cell_length_a 4.344
_cell_length_b 4.344
_cell_length_c 6.029
_cell_angle_alpha 90.00
_cell_angle_beta 90.00
_cell_angle_gamma 90.00
loop_
_atom_site_label
_atom_site_type_symbol
_atom_site_fract_x
_atom_site_fract_y
_atom_site_fract_z
La1 La 0.000 0.000 0.000
La2 La 0.500 0.500 0.445
W1 W 0.000 0.000 0.428
Br1 Br 0.500 0.500 0.945
# - ΔE_f (raw) (eV/f.u.) = -0.242
# - distance to the lowest polymorph of the same formula (meV per atom) = 161.1


# LiTaIn (PBE, relaxed)
data_LiTaIn
_space_group_name_H-M_alt 'P 3 m 1'
_space_group_IT_number 156
_space_group_name_Hall 'P 3 -2"'
_cell_length_a 2.9768
_cell_length_b 2.9768
_cell_length_c 7.5922
_cell_angle_alpha 90.00
_cell_angle_beta 90.00
_cell_angle_gamma 120.00
loop_
_atom_site_label
_atom_site_type_symbol
_atom_site_fract_x
_atom_site_fract_y
_atom_site_fract_z
Li1 Li 0.0000 0.0000 0.0000
Ta1 Ta 0.3333 0.6667 0.3315
In1 In 0.6667 0.3333 0.6729
# - energy relative to the elements (meV/atom) = 256
# - distance to the lowest polymorph of the same formula (meV per atom) = 51.5


# Al2Ag (PBE, relaxed)
data_Al2Ag
_space_group_name_H-M_alt 'C m c e'
_space_group_IT_number 64
_space_group_name_Hall '-C 2ac 2'
_cell_length_a 2.915
_cell_length_b 5.122
_cell_length_c 13.729
_cell_angle_alpha 90.00
_cell_angle_beta 90.00
_cell_angle_gamma 90.00
loop_
_atom_site_label
_atom_site_type_symbol
_atom_site_fract_x
_atom_site_fract_y
_atom_site_fract_z
Al1 Al 0.000 0.184 0.166
Ag1 Ag 0.000 0.000 0.500
# - energy relative to the elements (meV/atom) = 7


# CaRhSe2 (PBE, relaxed)
data_CaRhSe2
_space_group_name_H-M_alt 'R -3 m'
_space_group_IT_number 166
_space_group_name_Hall '-R 3 2"'
_cell_length_a 4.0475
_cell_length_b 4.0475
_cell_length_c 17.8556
_cell_angle_alpha 90.00
_cell_angle_beta 90.00
_cell_angle_gamma 120.00
loop_
_atom_site_label
_atom_site_type_symbol
_atom_site_fract_x
_atom_site_fract_y
_atom_site_fract_z
Ca1 Ca 0.0000 0.0000 0.0000
Rh1 Rh 0.0000 0.0000 0.5000
Se1 Se 0.0000 0.0000 0.2330
# - ΔE_f (raw) (eV/f.u.) = -3.648
# - distance to the lowest polymorph of the same formula (meV per atom) = 0.0


# Tl2IrC (PBE, relaxed)
data_Tl2IrC
_space_group_name_H-M_alt 'I -4 2 d'
_space_group_IT_number 122
_space_group_name_Hall 'I -4 2bw'
_cell_length_a 6.883
_cell_length_b 6.883
_cell_length_c 6.303
_cell_angle_alpha 90.00
_cell_angle_beta 90.00
_cell_angle_gamma 90.00
loop_
_atom_site_label
_atom_site_type_symbol
_atom_site_fract_x
_atom_site_fract_y
_atom_site_fract_z
Tl1 Tl 0.202 0.250 0.125
Ir1 Ir 0.000 0.000 0.500
C1 C 0.000 0.000 0.000
# - energy relative to the elements (meV/atom) = 1588
# - distance to the lowest polymorph of the same formula (meV per atom) = 0.0


# KTl2ZnAu (PBE, relaxed)
data_KTl2ZnAu
_space_group_name_H-M_alt 'P 4/m m m'
_space_group_IT_number 123
_space_group_name_Hall '-P 4 2'
_cell_length_a 5.453
_cell_length_b 5.453
_cell_length_c 5.131
_cell_angle_alpha 90.00
_cell_angle_beta 90.00
_cell_angle_gamma 90.00
loop_
_atom_site_label
_atom_site_type_symbol
_atom_site_fract_x
_atom_site_fract_y
_atom_site_fract_z
K1 K 0.000 0.000 0.000
Tl1 Tl 0.000 0.500 0.500
Zn1 Zn 0.500 0.500 0.500
Au1 Au 0.500 0.500 0.000
# - energy relative to the elements (meV/atom) = 18
# - distance to the lowest polymorph of the same formula (meV per atom) = 0.0


# ZnCO2 (PBE, relaxed)
data_ZnCO2
_space_group_name_H-M_alt 'I -4 2 d'
_space_group_IT_number 122
_space_group_name_Hall 'I -4 2bw'
_cell_length_a 4.340
_cell_length_b 4.340
_cell_length_c 9.506
_cell_angle_alpha 90.00
_cell_angle_beta 90.00
_cell_angle_gamma 90.00
loop_
_atom_site_label
_atom_site_type_symbol
_atom_site_fract_x
_atom_site_fract_y
_atom_site_fract_z
Zn1 Zn 0.000 0.000 0.000
C1 C 0.000 0.000 0.500
O1 O 0.221 0.250 0.625
# - ΔE_f (raw) (eV/f.u.) = 1.764
# - distance to the lowest polymorph of the same formula (meV per atom) = 1076.2